<i>
Entry from the Alexandria database: a relaxed structure of Ca2MnTc (PBE-GGA).

**Volume**: 22.8 Å³ per atom
**Density of states at the Fermi level**: 4.21 states/eV/cell
**Crystal system**: orthorhombic

The structure in POSCAR format:
```
Ca2MnTc
1.0
5.876 0.042 -0.001
2.485 5.324 0.001
-3.565 -3.641 2.925
Ca Mn Tc
2 1 1
direct
0.018 0.018 0.000 Ca
0.729 0.229 0.500 Ca
0.445 0.445 0.000 Mn
0.308 0.808 0.500 Tc
```

<ii>
Entry from the Alexandria database: a relaxed structure of Ca2MnTc (PBE-GGA).

**Volume**: 21.7 Å³ per atom
**Density of states at the Fermi level**: 3.89 states/eV/cell
**Crystal system**: monoclinic

The structure in POSCAR format:
```
Ca2MnTc
1.0
-0.919 6.805 -1.440
-4.174 -3.125 1.892
-0.257 1.784 2.396
Ca Mn Tc
2 1 1
direct
0.000 0.000 0.000 Ca
0.500 0.000 0.500 Ca
0.000 0.500 0.500 Mn
0.500 0.500 0.000 Tc
```

Most stable: <i>. Least stable: <ii>.

<i>
Entry from the Alexandria database: a relaxed structure of Ca2MnTc (PBE-GGA).

**Volume**: 22.9 Å³ per atom
**Density of states at the Fermi level**: 7.11 states/eV/cell
**Crystal system**: cubic

The structure in POSCAR format:
```
Ca2MnTc
1.0
4.741 -1.336 1.172
0.838 -4.005 2.982
1.991 -4.231 -1.942
Ca Mn Tc
2 1 1
direct
0.250 0.250 0.250 Ca
0.750 0.750 0.750 Ca
0.000 0.000 0.000 Mn
0.500 0.500 0.500 Tc
```

<ii>
Entry from the Alexandria database: a relaxed structure of Ca2MnTc (PBE-GGA).

**Volume**: 21.6 Å³ per atom
**Density of states at the Fermi level**: 3.30 states/eV/cell
**Crystal system**: tetragonal

The structure in POSCAR format:
```
Ca2MnTc
1.0
4.573 0.000 0.000
0.000 4.342 0.000
0.000 0.000 4.342
Ca Mn Tc
2 1 1
direct
0.000 0.000 0.000 Ca
0.000 0.500 0.500 Ca
0.500 0.500 0.000 Mn
0.500 0.000 0.500 Tc
```

Most stable: <ii>. Least stable: <i>.

<i>
Entry from the Alexandria database: a relaxed structure of Ca2MnTc (PBE-GGA).

**Volume**: 23.6 Å³ per atom
**Density of states at the Fermi level**: 3.99 states/eV/cell
**Crystal system**: tetragonal

The structure in POSCAR format:
```
Ca2MnTc
1.0
-1.638 -0.226 2.843
0.756 -3.196 0.181
7.288 1.970 4.354
Ca Mn Tc
2 1 1
direct
0.000 0.000 0.931 Ca
0.500 0.500 0.319 Ca
0.000 0.000 0.573 Mn
0.500 0.500 0.678 Tc
```

<ii>
Entry from the Alexandria database: a relaxed structure of Ca2MnTc (PBE-GGA).

**Volume**: 21.1 Å³ per atom
**Density of states at the Fermi level**: 5.51 states/eV/cell
**Crystal system**: orthorhombic

The structure in POSCAR format:
```
Ca2MnTc
1.0
-3.239 -3.203 -1.892
3.632 -2.241 -2.473
0.330 0.595 4.882
Ca Mn Tc
2 1 1
direct
0.000 0.000 0.000 Ca
0.250 0.750 0.500 Ca
0.500 0.500 0.000 Mn
0.750 0.250 0.500 Tc
```

<iii>
Entry from the Alexandria database: a relaxed structure of Ca2MnTc (PBE-GGA).

**Volume**: 23.4 Å³ per atom
**Density of states at the Fermi level**: 4.95 states/eV/cell
**Crystal system**: tetragonal

The structure in POSCAR format:
```
Ca2MnTc
1.0
3.340 0.253 0.000
-0.250 3.340 0.000
0.000 0.000 8.359
Ca Mn Tc
2 1 1
direct
0.000 0.000 0.982 Ca
0.000 0.000 0.518 Ca
0.500 0.500 0.250 Mn
0.500 0.500 0.750 Tc
```

<iv>
Entry from the Alexandria database: a relaxed structure of Ca2MnTc (PBE-GGA).

**Volume**: 21.9 Å³ per atom
**Density of states at the Fermi level**: 2.21 states/eV/cell
**Crystal system**: tetragonal

The structure in POSCAR format:
```
Ca2MnTc
1.0
-2.364 -4.913 -0.296
2.219 -3.377 3.673
-2.055 5.042 0.421
Ca Mn Tc
2 1 1
direct
0.000 0.000 0.000 Ca
0.500 0.500 0.000 Ca
0.250 0.750 0.500 Mn
0.750 0.250 0.500 Tc
```

Most stable: <i>. Least stable: <iii>.

<i>
Entry from the Alexandria database: a relaxed structure of CaMnTc (PBE-GGA).

**Volume**: 24.0 Å³ per atom
**Density of states at the Fermi level**: 2.96 states/eV/cell
**Crystal system**: cubic

The structure in POSCAR format:
```
CaMnTc
1.0
-2.115 -0.711 4.103
0.715 -3.979 2.337
2.494 0.027 3.948
Ca Mn Tc
1 1 1
direct
0.750 0.750 0.750 Ca
0.000 0.000 0.000 Mn
0.500 0.500 0.500 Tc
```

<ii>
Entry from the Alexandria database: a relaxed structure of CaMnTc (PBE-GGA).

**Volume**: 19.4 Å³ per atom
**Density of states at the Fermi level**: 2.53 states/eV/cell
**Crystal system**: cubic

The structure in POSCAR format:
```
CaMnTc
1.0
-1.792 3.832 1.025
-2.154 2.273 -3.023
-4.329 0.384 0.239
Ca Mn Tc
1 1 1
direct
0.500 0.500 0.500 Ca
0.750 0.750 0.750 Mn
0.000 0.000 0.000 Tc
```

Most stable: <ii>. Least stable: <i>.

<i>
Entry from the Alexandria database: a relaxed structure of CaMnTc (PBE-GGA).

**Volume**: 18.2 Å³ per atom
**Density of states at the Fermi level**: 2.56 states/eV/cell
**Crystal system**: hexagonal

The structure in POSCAR format:
```
CaMnTc
1.0
-4.672 -0.091 -0.728
2.388 -4.046 0.544
-0.436 0.117 2.781
Ca Mn Tc
1 1 1
direct
0.000 0.000 0.000 Ca
0.333 0.667 0.501 Mn
0.667 0.333 0.499 Tc
```

<ii>
Entry from the Alexandria database: a relaxed structure of CaMnTc (PBE-GGA).

**Volume**: 19.1 Å³ per atom
**Density of states at the Fermi level**: 2.25 states/eV/cell
**Crystal system**: tetragonal

The structure in POSCAR format:
```
CaMnTc
1.0
-3.062 5.032 -1.794
-3.236 3.057 -4.254
-3.023 -0.600 0.696
Ca Mn Tc
1 1 1
direct
0.004 0.004 0.996 Ca
0.295 0.295 0.705 Mn
0.702 0.702 0.298 Tc
```

Most stable: <ii>. Least stable: <i>.

<i>
Entry from the Alexandria database: a relaxed structure of CaMnTe (PBE-GGA).

**Volume**: 25.8 Å³ per atom
**Density of states at the Fermi level**: 3.29 states/eV/cell
**Crystal system**: tetragonal

The structure in POSCAR format:
```
CaMnTe
1.0
-3.725 -1.576 4.467
-1.850 -4.662 3.340
1.958 0.007 3.236
Ca Te Mn
1 1 1
direct
0.000 0.000 0.000 Ca
0.693 0.693 0.307 Te
0.307 0.307 0.693 Mn
```

<ii>
Entry from the Alexandria database: a relaxed structure of CaMnTe (PBE-GGA).

**Volume**: 31.9 Å³ per atom
**Density of states at the Fermi level**: 2.42 states/eV/cell
**Crystal system**: cubic

The structure in POSCAR format:
```
CaMnTe
1.0
5.134 0.000 0.000
2.567 4.446 0.000
2.567 1.482 4.192
Ca Te Mn
1 1 1
direct
0.250 0.250 0.250 Ca
0.500 0.500 0.500 Te
0.000 0.000 0.000 Mn
```

<iii>
Entry from the Alexandria database: a relaxed structure of CaMnTe (PBE-GGA).

**Volume**: 24.2 Å³ per atom
**Density of states at the Fermi level**: 4.24 states/eV/cell
**Crystal system**: cubic

The structure in POSCAR format:
```
CaMnTe
1.0
-0.809 1.459 -4.372
-0.007 -3.074 -3.529
-4.017 -1.107 -2.131
Ca Te Mn
1 1 1
direct
0.500 0.500 0.500 Ca
0.000 0.000 0.000 Te
0.250 0.250 0.250 Mn
```

Most stable: <i>. Least stable: <ii>.